First-principles (PBE) data for a relaxed BeSn2AsO crystal, as listed in Alexandria via LeMat-Bulk.

a = 5.667 Å, b = 5.667 Å, c = 3.913 Å
α = 90.00°, β = 90.00°, γ = 90.00°
Fractional positions:
1 Be 0.000 0.000 0.500
2 O 0.500 0.500 0.500
3 Sn 0.500 0.000 0.000
4 Sn 0.000 0.500 0.000
5 As 0.000 0.000 0.000

Values from the calculation:
The calculation puts the size of the total moment at 0.000 μB per atom. As for the symmetry: P4/mmm, No. 123. Its crystal system is tetragonal. Its electronic total energy is -17.98 eV per cell.

First-principles (PBE) data for a relaxed Be2SnAsO8 crystal, as listed in Alexandria via LeMat-Bulk.

a = 5.265 Å, b = 5.265 Å, c = 5.534 Å
α = 90.00°, β = 90.00°, γ = 120.00°
Site moments in Bohr magnetons follow the coordinates.
Fractional positions:
1 O 0.667 0.333 0.937  0.99
2 O 0.314 0.180 0.283  0.09
3 O 0.820 0.134 0.283  0.09
4 O 0.686 0.820 0.717  0.09
5 O 0.333 0.667 0.063  0.99
6 O 0.866 0.686 0.283  0.09
7 O 0.134 0.314 0.717  0.09
8 O 0.180 0.866 0.717  0.09
9 As 0.000 0.000 0.500  -0.01
10 Be 0.667 0.333 0.232  -0.02
11 Be 0.333 0.667 0.768  -0.02
12 Sn 0.000 0.000 0.000  -0.02

Values from the calculation:
The calculation puts the size of the total moment at 0.250 μB per atom. As for the symmetry: P-3, No. 147. Its crystal system is trigonal. Its electronic total energy is -69.19 eV per cell.

First-principles (PBE) data for a relaxed BeSnAsO6 crystal, as listed in Alexandria via LeMat-Bulk.

a = 4.816 Å, b = 4.816 Å, c = 8.794 Å
α = 90.00°, β = 90.00°, γ = 120.00°
Site moments in Bohr magnetons follow the coordinates.
Fractional positions:
1 As 0.333 0.667 0.250  -0.02
2 As 0.667 0.333 0.750  -0.02
3 Sn 0.000 0.000 0.500  -0.01
4 Sn 0.000 0.000 0.000  -0.01
5 O 0.359 0.002 0.137  0.15
6 O 0.643 0.641 0.137  0.15
7 O 0.641 0.643 0.637  0.15
8 O 0.359 0.357 0.363  0.15
9 O 0.002 0.643 0.863  0.15
10 O 0.998 0.641 0.363  0.15
11 O 0.641 0.998 0.863  0.15
12 O 0.643 0.002 0.363  0.15
13 O 0.357 0.998 0.637  0.15
14 O 0.002 0.359 0.637  0.15
15 O 0.998 0.357 0.137  0.15
16 O 0.357 0.359 0.863  0.15
17 Be 0.667 0.333 0.250  -0.01
18 Be 0.333 0.667 0.750  -0.01

Values from the calculation:
The calculation puts the size of the total moment at 0.114 μB per atom. As for the symmetry: P-31c, No. 163. Its crystal system is trigonal. Its electronic total energy is -109.38 eV per cell.

First-principles (PBE) data for a relaxed SrBe2AsO8 crystal, as listed in Alexandria via LeMat-Bulk.

a = 4.774 Å, b = 4.774 Å, c = 7.090 Å
α = 90.00°, β = 90.00°, γ = 120.00°
Site moments in Bohr magnetons follow the coordinates.
Fractional positions:
1 O 0.961 0.680 0.341  0.44
2 O 0.333 0.667 0.949  0.81
3 O 0.281 0.961 0.659  0.44
4 O 0.719 0.039 0.341  0.44
5 O 0.680 0.719 0.659  0.44
6 O 0.667 0.333 0.051  0.81
7 O 0.039 0.320 0.659  0.44
8 O 0.320 0.281 0.341  0.44
9 As 0.000 0.000 0.500  -0.04
10 Be 0.333 0.667 0.717  -0.02
11 Be 0.667 0.333 0.283  -0.02
12 Sr 0.000 0.000 0.000  0.00

Values from the calculation:
The calculation puts the size of the total moment at 0.417 μB per atom. As for the symmetry: P-3, No. 147. Its crystal system is trigonal. Its electronic total energy is -68.80 eV per cell.

First-principles (PBE) data for a relaxed SrBeAs2O8 crystal, as listed in Alexandria via LeMat-Bulk.

a = 4.957 Å, b = 4.823 Å, c = 7.362 Å
α = 89.12°, β = 87.25°, γ = 65.48°
Site moments in Bohr magnetons follow the coordinates.
Fractional positions:
1 O 0.282 0.321 0.584  0.14
2 O 0.267 0.789 0.185  0.18
3 O 0.718 0.679 0.416  0.14
4 O 0.817 0.734 0.020  0.42
5 O 0.234 0.775 0.817  0.14
6 O 0.766 0.225 0.183  0.14
7 O 0.733 0.211 0.815  0.18
8 O 0.183 0.266 0.980  0.42
9 As 0.354 0.385 0.800  -0.02
10 As 0.646 0.615 0.200  -0.02
11 Be 0.000 0.000 0.000  -0.01
12 Sr 0.000 0.000 0.500  0.00

Values from the calculation:
The calculation puts the size of the total moment at 0.169 μB per atom. As for the symmetry: P-1, No. 2. Its crystal system is triclinic. Its electronic total energy is -72.00 eV per cell.

First-principles (PBE) data for a relaxed SrBeAsO5 crystal, as listed in Alexandria via LeMat-Bulk.

a = 5.509 Å, b = 5.509 Å, c = 6.996 Å
α = 104.53°, β = 104.53°, γ = 106.54°
Site moments in Bohr magnetons follow the coordinates.
Fractional positions:
1 O 0.935 0.065 0.750  0.15
2 O 0.280 0.892 0.601  0.10
3 O 0.778 0.629 0.399  0.26
4 O 0.629 0.778 0.899  0.26
5 O 0.892 0.280 0.101  0.10
6 O 0.222 0.371 0.601  0.26
7 O 0.108 0.720 0.899  0.10
8 O 0.720 0.108 0.399  0.10
9 O 0.065 0.935 0.250  0.15
10 O 0.371 0.222 0.101  0.26
11 Sr 0.663 0.337 0.750  0.01
12 Sr 0.337 0.663 0.250  0.01
13 As 0.000 0.000 0.000  -0.02
14 As 0.000 0.000 0.500  -0.02
15 Be 0.296 0.704 0.750  -0.01
16 Be 0.704 0.296 0.250  -0.01

Values from the calculation:
The calculation puts the size of the total moment at 0.129 μB per atom. As for the symmetry: C2/c, No. 15. Its crystal system is monoclinic. Its electronic total energy is -99.08 eV per cell.

First-principles (PBE) data for a relaxed BeTeAs2O crystal, as listed in Alexandria via LeMat-Bulk.

a = 5.381 Å, b = 3.900 Å, c = 5.381 Å
α = 90.00°, β = 90.00°, γ = 90.00°
Fractional positions:
1 O 0.000 0.500 0.000
2 Be 0.500 0.500 0.500
3 As 0.000 0.000 0.500
4 As 0.500 0.000 0.000
5 Te 0.000 0.000 0.000

Values from the calculation:
The calculation puts the size of the total moment at 0.000 μB per atom. As for the symmetry: P4/mmm, No. 123. Its crystal system is tetragonal. Its electronic total energy is -17.20 eV per cell. The energy above the most stable polymorph in this dataset is 0.032 eV/atom.

First-principles (PBE) data for a relaxed BeTeAs2O crystal, as listed in Alexandria via LeMat-Bulk.

a = 4.224 Å, b = 5.210 Å, c = 4.224 Å
α = 90.00°, β = 90.00°, γ = 90.00°
Fractional positions:
1 As 0.500 0.000 0.000
2 As 0.000 0.000 0.500
3 Te 0.000 0.500 0.000
4 Be 0.000 0.000 0.000
5 O 0.500 0.500 0.500

Values from the calculation:
The calculation puts the size of the total moment at 0.000 μB per atom. As for the symmetry: P4/mmm, No. 123. Its crystal system is tetragonal. Its electronic total energy is -17.36 eV per cell. The energy above the most stable polymorph in this dataset is 0.000 eV/atom.

First-principles (PBE) data for a relaxed TiBeAsO2 crystal, as listed in Alexandria via LeMat-Bulk.

a = 3.779 Å, b = 5.277 Å, c = 3.779 Å
α = 90.00°, β = 90.00°, γ = 90.00°
Site moments in Bohr magnetons follow the coordinates.
Fractional positions:
1 As 0.000 0.000 0.000  0.01
2 O 0.000 0.000 0.500  0.08
3 O 0.500 0.000 0.000  0.03
4 Be 0.500 0.500 0.500  0.10
5 Ti 0.000 0.500 0.000  0.92

Values from the calculation:
The calculation puts the size of the total moment at 0.325 μB per atom. As for the symmetry: P4/mmm, No. 123. Its crystal system is tetragonal. Its electronic total energy is -24.68 eV per cell.

First-principles (PBE) data for a relaxed Be2Tl2AsO6 crystal, as listed in Alexandria via LeMat-Bulk.

a = 5.289 Å, b = 5.289 Å, c = 6.396 Å
α = 65.58°, β = 65.58°, γ = 60.00°
Fractional positions:
1 O 0.737 0.230 0.803
2 O 0.230 0.230 0.803
3 O 0.263 0.770 0.197
4 O 0.230 0.737 0.803
5 O 0.770 0.263 0.197
6 O 0.770 0.770 0.197
7 As 0.000 0.000 0.000
8 Tl 0.788 0.788 0.635
9 Tl 0.212 0.212 0.365
10 Be 0.609 0.609 0.172
11 Be 0.391 0.391 0.828

Values from the calculation:
The calculation puts the size of the total moment at 0.000 μB per atom. As for the symmetry: R-3m, No. 166. Its crystal system is trigonal. Its electronic total energy is -61.80 eV per cell.

First-principles (PBE) data for a relaxed BeTl2AsO4 crystal, as listed in Alexandria via LeMat-Bulk.

a = 4.747 Å, b = 6.433 Å, c = 11.928 Å
α = 85.79°, β = 78.52°, γ = 68.35°
Fractional positions:
1 Tl 0.892 0.500 0.217
2 Tl 0.608 0.500 0.783
3 Tl 0.142 0.000 0.717
4 Tl 0.858 0.000 0.283
5 O 0.649 0.143 0.078
6 O 0.542 0.357 0.578
7 O 0.870 0.857 0.922
8 O 0.477 0.643 0.422
9 O 0.273 0.857 0.078
10 O 0.880 0.643 0.578
11 O 0.101 0.357 0.422
12 O 0.208 0.143 0.922
13 As 0.500 0.000 0.000
14 As 0.250 0.500 0.500
15 Be 0.000 0.000 0.000
16 Be 0.750 0.500 0.500

Values from the calculation:
The calculation puts the size of the total moment at 0.000 μB per atom. As for the symmetry: Fddd, No. 70. Its crystal system is orthorhombic. Its electronic total energy is -85.13 eV per cell.

First-principles (PBE) data for a relaxed Be2TlAsO6 crystal, as listed in Alexandria via LeMat-Bulk.

a = 5.697 Å, b = 6.479 Å, c = 6.479 Å
α = 83.26°, β = 73.59°, γ = 73.59°
Fractional positions:
1 O 0.791 0.014 0.241
2 O 0.709 0.759 0.986
3 O 0.088 0.632 0.204
4 O 0.308 0.285 0.410
5 O 0.192 0.590 0.715
6 O 0.912 0.368 0.796
7 O 0.588 0.204 0.632
8 O 0.692 0.715 0.590
9 O 0.412 0.796 0.368
10 O 0.291 0.241 0.014
11 O 0.209 0.986 0.759
12 O 0.808 0.410 0.285
13 Be 0.634 0.236 0.375
14 Be 0.134 0.375 0.236
15 Be 0.866 0.625 0.764
16 Be 0.366 0.764 0.625
17 As 0.250 0.294 0.706
18 As 0.750 0.706 0.294
19 Tl 0.750 0.098 0.902
20 Tl 0.250 0.902 0.098

Values from the calculation:
The calculation puts the size of the total moment at 0.000 μB per atom. As for the symmetry: C2/c, No. 15. Its crystal system is monoclinic. Its electronic total energy is -119.79 eV per cell.

Listing formation energy without anion corrections for the structures above in their given order: 0.671 -1.118 -1.396 -1.280 -1.469 -1.836 0.786 0.754 0.300 -1.383 -1.203 -1.568 eV/atom.